Sr2TiMnO6: relaxed, PBE+U.

Results
polymorph energy (0 for the lowest one)	12	meV/atom
symmetry	Pm-3m
crystal system	cubic

```
data_Sr2TiMnO6
_cell_length_a 7.824
_cell_length_b 7.824
_cell_length_c 7.824
_cell_angle_alpha 90.00
_cell_angle_beta 90.00
_cell_angle_gamma 90.00
_symmetry_space_group_name_H-M 'P 1'
_symmetry_Int_Tables_number 1
_symmetry_space_group_name_Hall 'P 1'
loop_
_atom_site_label
_atom_site_fract_x
_atom_site_fract_y
_atom_site_fract_z
Ti1 0.500 0.500 0.500
O1 0.500 0.751 0.500
O2 0.500 0.000 0.753
Mn1 0.000 0.000 0.000
O3 0.000 0.500 0.753
O4 0.500 0.000 0.247
O5 0.749 0.000 0.000
Sr1 0.247 0.247 0.753
O6 0.753 0.000 0.500
O7 0.753 0.500 0.000
Sr2 0.753 0.247 0.247
O8 0.000 0.749 0.000
O9 0.751 0.500 0.500
Mn2 0.500 0.000 0.000
Ti2 0.500 0.000 0.500
O10 0.500 0.247 0.000
O11 0.000 0.247 0.500
O12 0.000 0.251 0.000
O13 0.251 0.000 0.000
O14 0.249 0.500 0.500
Sr3 0.753 0.247 0.753
Ti3 0.500 0.500 0.000
O15 0.247 0.000 0.500
Sr4 0.753 0.753 0.247
Sr5 0.753 0.753 0.753
O16 0.000 0.753 0.500
O17 0.000 0.500 0.247
O18 0.500 0.500 0.249
O19 0.500 0.753 0.000
O20 0.247 0.500 0.000
Sr6 0.247 0.753 0.753
Mn3 0.000 0.500 0.000
Ti4 0.000 0.500 0.500
O21 0.500 0.249 0.500
O22 0.500 0.500 0.751
Sr7 0.247 0.753 0.247
Sr8 0.247 0.247 0.247
O23 0.000 0.000 0.251
Mn4 0.000 0.000 0.500
O24 0.000 0.000 0.749
```